# 1
This record from OQMD describes a relaxed InFeReAg crystal. The functional is PBE.

```
4
Lattice="0.000 3.181 3.181 3.181 0.000 3.181 3.181 3.181 0.000" Properties=species:S:1:pos:R:3 pbc="T T T"
Ag 1.591 1.591 1.591
Fe 4.772 4.772 4.772
In 0.000 0.000 0.000
Re 3.181 3.181 3.181
```

- Crystal system: cubic
- Space-group type: F-43m

=====

# 2
This record from OQMD describes a relaxed InFeAgS3 crystal. The functional is PBE.

```
12
Lattice="-5.579 4.225 -3.202 -7.291 2.162 -1.180 0.725 6.275 7.016" Properties=species:S:1:pos:R:3 pbc="T T T"
Ag -3.880 3.584 0.371
Ag -8.265 9.078 2.263
Fe 0.000 0.000 0.000
Fe 0.362 3.137 3.508
In -8.351 5.803 -1.151
In -3.795 6.859 3.785
S -5.076 2.662 -1.583
S -0.193 1.754 1.627
S -4.745 5.529 1.623
S -7.400 7.133 1.011
S -11.953 10.908 1.007
S -7.069 9.999 4.216
```

- Crystal system: orthorhombic
- Space-group type: Cmcm

=====

# 3
This record from OQMD describes a relaxed InFeAgSe2S crystal. The functional is PBE.

```
12
Lattice="-7.582 1.476 2.446 5.685 -3.464 -4.620 0.572 -7.294 6.172" Properties=species:S:1:pos:R:3 pbc="T T T"
Ag -4.758 -1.346 2.561
Ag 3.433 -7.936 1.437
Fe -0.949 -0.994 -1.087
Fe -0.663 -4.641 1.999
In 3.766 -4.519 -1.979
In -5.091 -4.762 5.977
S -1.234 -2.658 0.684
S -0.092 -6.623 3.314
Se -6.177 0.735 1.897
Se -5.926 -2.464 4.603
Se 4.600 -6.818 -0.605
Se 4.851 -10.016 2.102
```

- Crystal system: orthorhombic
- Space-group type: Cmcm

=====

# 4
This record from OQMD describes a relaxed InFeAgTe2S crystal. The functional is PBE.

```
12
Lattice="1.920 -6.517 0.000 1.920 6.517 0.000 0.000 0.000 11.560" Properties=species:S:1:pos:R:3 pbc="T T T"
Ag 1.920 -5.982 2.890
Ag 1.920 5.982 8.670
Fe 1.920 0.000 0.000
Fe 1.920 0.000 5.780
In 1.920 3.381 2.890
In 1.920 -3.381 8.670
S 1.920 -1.224 2.890
S 1.920 1.224 8.670
Te 1.920 -4.782 0.403
Te 1.920 -4.782 5.377
Te 1.920 4.782 6.182
Te 1.920 4.782 11.157
```

- Crystal system: orthorhombic
- Space-group type: Cmcm

=====

# 5
This record from OQMD describes a relaxed InFeAgSe3 crystal. The functional is PBE.

```
12
Lattice="-1.718 -6.919 -3.793 1.361 -6.091 -5.124 4.505 -5.099 7.258" Properties=species:S:1:pos:R:3 pbc="T T T"
Ag 0.881 -10.222 -4.318
Ag 3.267 -7.886 2.659
Fe 0.000 0.000 0.000
Fe 2.253 -2.549 3.629
In 1.008 -5.574 -1.133
In 3.140 -12.534 -0.526
Se -0.119 -8.003 -5.252
Se 0.780 -13.901 -6.840
Se 1.938 -10.331 -1.938
Se 2.210 -7.777 0.279
Se 3.368 -4.207 5.181
Se 4.267 -10.105 3.593
```

- Crystal system: orthorhombic
- Space-group type: Cmcm

=====

# 6
This record from OQMD describes a relaxed InFeAgTe2Se crystal. The functional is PBE.

```
12
Lattice="1.963 -6.463 0.000 1.963 6.463 0.000 0.000 0.000 11.582" Properties=species:S:1:pos:R:3 pbc="T T T"
Ag 1.963 -4.778 2.896
Ag 1.963 4.778 8.687
Fe 1.963 0.000 0.000
Fe 1.963 0.000 5.791
In 1.963 3.926 2.896
In 1.963 -3.926 8.687
Se 1.963 -0.488 2.896
Se 1.963 0.488 8.687
Te 1.963 -4.736 0.149
Te 1.963 -4.736 5.642
Te 1.963 4.736 5.940
Te 1.963 4.736 11.433
```

- Crystal system: orthorhombic
- Space-group type: Cmcm

=====

# 7
This record from OQMD describes a relaxed InFeTcAg crystal. The functional is PBE.

```
4
Lattice="0.000 3.206 3.206 3.206 0.000 3.206 3.206 3.206 0.000" Properties=species:S:1:pos:R:3 pbc="T T T"
Ag 1.603 1.603 1.603
Fe 4.808 4.808 4.808
In 0.000 0.000 0.000
Tc 3.206 3.206 3.206
```

- Crystal system: cubic
- Space-group type: F-43m

=====

# 8
This record from OQMD describes a relaxed InFeAgW crystal. The functional is PBE.

```
4
Lattice="-2.552 2.951 2.284 -1.023 4.001 -1.839 -4.229 0.851 -1.352" Properties=species:S:1:pos:R:3 pbc="T T T"
Ag -1.951 1.951 -0.227
Fe -5.853 5.853 -0.681
In 0.000 0.000 0.000
W -3.902 3.902 -0.454
```

- Crystal system: cubic
- Space-group type: F-43m

=====

# 9
This record from OQMD describes a relaxed YInFeAg crystal. The functional is PBE.

```
4
Lattice="0.000 3.336 3.336 3.336 0.000 3.336 3.336 3.336 0.000" Properties=species:S:1:pos:R:3 pbc="T T T"
Ag 1.668 1.668 1.668
Fe 5.005 5.005 5.005
In 0.000 0.000 0.000
Y 3.336 3.336 3.336
```

- Crystal system: cubic
- Space-group type: F-43m

=====

# 10
This record from OQMD describes a relaxed YInFeAg crystal. The functional is PBE.

```
4
Lattice="0.000 3.403 3.403 3.403 0.000 3.403 3.403 3.403 0.000" Properties=species:S:1:pos:R:3 pbc="T T T"
Ag 3.403 3.403 3.403
Fe 5.105 5.105 5.105
In 0.000 0.000 0.000
Y 1.702 1.702 1.702
```

- Crystal system: cubic
- Space-group type: F-43m

=====

# 11
This record from OQMD describes a relaxed FeAgSbIr crystal. The functional is PBE.

```
4
Lattice="-2.883 -1.371 3.201 -4.043 1.981 0.399 -3.745 -2.256 -1.147" Properties=species:S:1:pos:R:3 pbc="T T T"
Ag -5.336 -0.822 1.226
Fe -8.003 -1.234 1.839
Ir -2.668 -0.411 0.613
Sb 0.000 0.000 0.000
```

- Crystal system: cubic
- Space-group type: F-43m

=====

# 12
This record from OQMD describes a relaxed FeSiAgIr crystal. The functional is PBE.

```
4
Lattice="0.000 3.036 3.036 3.036 0.000 3.036 3.036 3.036 0.000" Properties=species:S:1:pos:R:3 pbc="T T T"
Ag 3.036 3.036 3.036
Fe 4.554 4.554 4.554
Ir 1.518 1.518 1.518
Si 0.000 0.000 0.000
```

- Crystal system: cubic
- Space-group type: F-43m

=====

For reference, E by record: -23.61 -27.51 -26.03 -24.13 -25.35 -23.86 -22.36 -24.39 -20.26 -20.15 -22.97 -24.85 eV per formula unit.